Record 1
Material: Ba2TcW
Method: DFT, GGA-PBEsol
State: optimized geometry

Calculated values
The crystal system is tetragonal. The final energy is -5.781 eV/atom. Its calculated density is 9.73 Mg/m³.

Cell lengths 5.1254, 5.1254, 5.1254 Å; angles 89.73, 120.15, 120.15 degrees
With the nearest neighbours (Å) after each atom.
Positions (direct):
Ba 0.5000 0.7500 0.2500  4 Ba 3.14, 4 Tc 3.14
Ba 0.0000 0.0000 0.0000  4 Ba 3.14, 4 W 3.14
Tc 0.0000 0.5000 0.5000  4 W 3.14, 4 Ba 3.14
W 0.5000 0.2500 0.7500  4 Ba 3.14, 4 Tc 3.14


Record 2
Material: LaY2Tl
Method: DFT, GGA-PBEsol
State: optimized geometry

Calculated values
The crystal system is orthorhombic. The final energy is -5.608 eV/atom. Its calculated density is 7.25 Mg/m³.

Cell lengths 3.8633, 5.2946, 6.6935 Å; angles 113.30, 106.77, 90.00 degrees
With the nearest neighbours (Å) after each atom.
Positions (direct):
Y 0.9693 0.4693 0.9386  2 Tl 3.12, 4 La 3.34
Y 0.7451 0.7451 0.4902  4 Tl 3.28
La 0.5266 0.0266 0.0533  2 Tl 3.33, 6 Y 3.34-3.68
Tl 0.2590 0.2590 0.5179  6 Y 3.12-3.28, 2 La 3.33


Record 3
Material: FeAsSe
Method: DFT, GGA-PBEsol
State: optimized geometry

Calculated values
The crystal system is monoclinic. For the formation energy from raw total energies, the calculation gives -0.422 eV/atom. The final energy is -6.395 eV/atom. Its calculated density is 7.61 Mg/m³.

Cell lengths 5.7801, 5.8546, 5.8998 Å; angles 113.54, 90.00, 90.00 degrees
With the nearest neighbours (Å) after each atom.
Positions (direct):
Se 0.6341 0.8448 0.1791  3 Fe 2.29-2.30, 1 As 2.53
Se 0.8659 0.8448 0.6791  3 Fe 2.29-2.30, 1 As 2.53
Se 0.3659 0.1552 0.8209  3 Fe 2.29-2.30, 1 As 2.53
Se 0.1341 0.1552 0.3209  3 Fe 2.29-2.30, 1 As 2.53
As 0.6393 0.3580 0.6211  3 Fe 2.35-2.39, 1 Se 2.53
As 0.1393 0.6420 0.8789  3 Fe 2.35-2.39, 1 Se 2.53
As 0.8607 0.3580 0.1211  3 Fe 2.35-2.39, 1 Se 2.53
As 0.3607 0.6420 0.3789  3 Fe 2.35-2.39, 1 Se 2.53
Fe 0.4999 0.7767 0.7928  3 Se 2.29-2.30, 3 As 2.35-2.39
Fe 0.9999 0.2233 0.7072  3 Se 2.29-2.30, 3 As 2.35-2.39
Fe 0.0001 0.7767 0.2928  3 Se 2.29-2.30, 3 As 2.35-2.39
Fe 0.5001 0.2233 0.2072  3 Se 2.29-2.30, 3 As 2.35-2.39


Record 4
Material: BeSiW2
Method: DFT, GGA-PBEsol
State: optimized geometry

Calculated values
The crystal system is tetragonal. For the formation energy from raw total energies, the calculation gives 0.112 eV/atom. The final energy is -9.229 eV/atom. Its calculated density is 12.60 Mg/m³.

Cell lengths 3.6854, 3.6854, 4.7132 Å; angles 113.01, 113.01, 90.00 degrees
With the nearest neighbours (Å) after each atom.
Positions (direct):
W 0.7500 0.2500 0.5000  4 Si 2.61, 4 W 2.69, 4 Be 2.69
W 0.0000 0.0000 0.0000  4 Be 2.61, 4 W 2.69, 4 Si 2.69
Be 0.5000 0.5000 0.0000  8 W 2.61-2.69, 4 Si 2.69
Si 0.2500 0.7500 0.5000  8 W 2.61-2.69, 4 Be 2.69


Record 5
Material: Mg3H2O4
Method: DFT, GGA-PBEsol
State: optimized geometry

Calculated values
The crystal system is trigonal. The final energy is -5.815 eV/atom. Its calculated density is 3.01 Mg/m³.

Cell lengths 3.0415, 3.0415, 19.1341 Å; angles 90.00, 90.00, 120.00 degrees
With the nearest neighbours (Å) after each atom.
Positions (direct):
Mg 0.3333 0.6667 0.7529  6 O 2.13
Mg 0.6667 0.3333 0.6260  6 O 2.05-2.14
Mg 0.0000 0.0000 0.8797  6 O 2.05-2.14
Mg 0.3333 0.6667 0.3740  6 O 2.05-2.14
Mg 0.0000 0.0000 0.1203  6 O 2.05-2.14
Mg 0.6667 0.3333 0.2471  6 O 2.13
O 0.6667 0.3333 0.0648  1 H 0.98
O 0.3333 0.6667 0.9352  1 H 0.98
O 0.0000 0.0000 0.3104  6 Mg 2.13-2.14
O 0.6667 0.3333 0.8162  6 Mg 2.13-2.14
O 0.0000 0.0000 0.6896  6 Mg 2.13-2.14
O 0.3333 0.6667 0.5705  1 H 0.97
O 0.3333 0.6667 0.1838  6 Mg 2.13-2.14
O 0.6667 0.3333 0.4295  1 H 0.97
H 0.6667 0.3333 0.0137  1 O 0.98
H 0.6667 0.3333 0.4804  1 O 0.97
H 0.3333 0.6667 0.9863  1 O 0.98
H 0.3333 0.6667 0.5196  1 O 0.97


Record 6
Material: AlIn2Mo
Method: DFT, GGA-PBEsol
State: optimized geometry

Calculated values
The crystal system is tetragonal. The final energy is -5.116 eV/atom. Its calculated density is 7.71 Mg/m³.

Cell lengths 2.9153, 2.9153, 8.9282 Å; angles 90.00, 90.00, 90.07 degrees
With the nearest neighbours (Å) after each atom.
Positions (direct):
In 0.0000 0.0000 0.2644  4 In 2.92, 4 Mo 2.94-2.95, 4 Al 3.13
In 0.0000 0.0000 0.7356  4 In 2.92, 4 Mo 2.94-2.95, 4 Al 3.13
Al 0.5000 0.5000 0.0000  4 Al 2.92, 8 In 3.13
Mo 0.5000 0.5000 0.5000  4 Mo 2.92, 8 In 2.94-2.95


Record 7
Material: MgBi
Method: DFT, GGA-PBEsol
State: optimized geometry

Calculated values
The crystal system is monoclinic. The final energy is -3.138 eV/atom. Its calculated density is 7.37 Mg/m³.

Cell lengths 3.4821, 5.3762, 5.9759 Å; angles 100.38, 106.94, 90.00 degrees
With the nearest neighbours (Å) after each atom.
Positions (direct):
Bi 0.6230 0.2925 0.2460  7 Mg 3.07-3.26
Bi 0.3770 0.7075 0.7540  7 Mg 3.07-3.26
Mg 0.1207 0.8034 0.2414  7 Bi 3.07-3.26
Mg 0.8793 0.1966 0.7586  7 Bi 3.07-3.26


Record 8
Material: LiAgPb3
Method: DFT, GGA-PBEsol
State: optimized geometry

Calculated values
The crystal system is cubic. The final energy is -3.135 eV/atom. Its calculated density is 7.51 Mg/m³.

Cell lengths 5.4615, 5.4615, 5.4615 Å; angles 90.00, 90.00, 90.00 degrees
With the nearest neighbours (Å) after each atom.
Positions (direct):
Li 0.5000 0.5000 0.5000  12 Pb 3.86
Pb 0.5000 0.0000 0.0000  2 Ag 2.73
Pb 0.0000 0.5000 0.0000  2 Ag 2.73
Pb 0.0000 0.0000 0.5000  2 Ag 2.73
Ag 0.0000 0.0000 0.0000  6 Pb 2.73


Record 9
Material: Y2Ni12As7
Method: DFT, GGA-PBEsol
State: optimized geometry

Calculated values
The crystal system is hexagonal. The final energy is -6.461 eV/atom. Its calculated density is 8.36 Mg/m³.

Cell lengths 3.7851, 9.2293, 9.2293 Å; angles 120.00, 90.00, 90.00 degrees
With the nearest neighbours (Å) after each atom.
Positions (direct):
As 0.5000 0.1081 0.7012  7 Ni 2.33-2.40
As 0.0000 0.4023 0.1173  5 Ni 2.30-2.37
As 0.5000 0.2988 0.4068  7 Ni 2.33-2.40
As 0.0000 0.8827 0.2850  5 Ni 2.30-2.37
As 0.0000 0.7150 0.5977  5 Ni 2.30-2.37
As 0.0000 0.0000 0.0000  3 Ni 2.24
As 0.5000 0.5932 0.8919  7 Ni 2.33-2.40
Ni 0.5000 0.5756 0.6240  4 As 2.33-2.40
Ni 0.5000 0.8866 0.0955  5 As 2.40-2.59, 1 Ni 2.63
Ni 0.5000 0.0484 0.4244  4 As 2.33-2.40
Ni 0.0000 0.6169 0.0563  4 As 2.30-2.37, 1 Ni 2.52
Ni 0.0000 0.7198 0.8496  4 As 2.24-2.36
Ni 0.0000 0.4393 0.3831  4 As 2.30-2.37, 1 Ni 2.52
Ni 0.0000 0.9437 0.5607  4 As 2.30-2.37, 1 Ni 2.52
Ni 0.5000 0.2090 0.1134  5 As 2.40-2.59, 1 Ni 2.63
Ni 0.5000 0.9045 0.7910  5 As 2.40-2.59, 1 Ni 2.63
Ni 0.0000 0.1298 0.2802  4 As 2.24-2.36
Ni 0.0000 0.1504 0.8702  4 As 2.24-2.36
Ni 0.5000 0.3760 0.9516  4 As 2.33-2.40
Y 0.5000 0.6667 0.3333  6 As 2.94, 9 Ni 3.03-3.19
Y 0.0000 0.3333 0.6667  6 As 2.94, 12 Ni 3.09-3.22


Record 10
Material: TiCr2Re
Method: DFT, GGA-PBEsol
State: optimized geometry

Calculated values
The crystal system is cubic. The final energy is -10.710 eV/atom. Its calculated density is 10.85 Mg/m³.

Cell lengths 4.1827, 4.1827, 4.1827 Å; angles 60.00, 60.00, 60.00 degrees
With the nearest neighbours (Å) after each atom.
Positions (direct):
Cr 0.2500 0.2500 0.2500  4 Re 2.56, 4 Ti 2.56
Cr 0.7500 0.7500 0.7500  4 Ti 2.56, 4 Re 2.56
Re 0.5000 0.5000 0.5000  8 Cr 2.56
Ti 0.0000 0.0000 0.0000  8 Cr 2.56


Record 11
Material: NbZnFe3
Method: DFT, GGA-PBEsol
State: optimized geometry

Calculated values
The crystal system is cubic. The final energy is -6.621 eV/atom. Its calculated density is 7.01 Mg/m³.

Cell lengths 4.2586, 4.2586, 4.2586 Å; angles 90.00, 90.00, 90.00 degrees
With the nearest neighbours (Å) after each atom.
Positions (direct):
Fe 0.5000 0.0000 0.0000  2 Zn 2.13
Fe 0.0000 0.0000 0.5000  2 Zn 2.13
Fe 0.0000 0.5000 0.0000  2 Zn 2.13
Zn 0.0000 0.0000 0.0000  6 Fe 2.13
Nb 0.5000 0.5000 0.5000  12 Fe 3.01


Record 12
Material: AgSbTe2O
Method: DFT, GGA-PBEsol
State: optimized geometry

Calculated values
The crystal system is tetragonal. For the formation energy from raw total energies, the calculation gives 0.183 eV/atom. The final energy is -3.851 eV/atom. Its calculated density is 7.64 Mg/m³.

Cell lengths 4.6427, 4.8421, 4.8421 Å; angles 90.00, 90.00, 90.00 degrees
With the nearest neighbours (Å) after each atom.
Positions (direct):
Te 0.0000 0.0000 0.5000  2 O 2.42
Te 0.0000 0.5000 0.0000  2 O 2.42
Sb 0.5000 0.0000 0.0000  2 O 2.32
Ag 0.5000 0.5000 0.5000  8 Te 3.35, 4 Sb 3.42
O 0.0000 0.0000 0.0000  2 Sb 2.32, 4 Te 2.42